[1]
# KGaCuF6 PBE optimized geometry
data_KGaCuF6
_cell_length_a 5.520
_cell_length_b 8.985
_cell_length_c 5.702
_cell_angle_alpha 90.00
_cell_angle_beta 92.14
_cell_angle_gamma 90.00
_space_group_name_H-M_alt 'C 1 2 1'
_space_group_IT_number 5
loop_
_space_group_symop_operation_xyz
'x,y,z'
'-x,y,-z'
'x+1/2,y+1/2,z'
'-x+1/2,y+1/2,-z'
loop_
_atom_site_label
_atom_site_type_symbol
_atom_site_fract_x
_atom_site_fract_y
_atom_site_fract_z
K1 K 0.000 0.000 0.000
Ga1 Ga 0.000 0.338 0.500
Cu1 Cu 0.000 0.676 0.500
F1 F 0.118 0.509 0.689
F2 F 0.154 0.208 0.713
F3 F 0.195 0.827 0.670
# Calculated volume = 282.6 Å³/cell
# Fermi-level density of states = 0.349 states/eV per cell
# E above lowest polymorph = 0 meV per atom
# Uncorrected formation energy = -2.35 eV per atom
# Total energy = -0.332 Ry per atom

[2]
# Sc2Ga2Co5Mo PBE optimized geometry
data_Sc2Ga2Co5Mo
_cell_length_a 9.118
_cell_length_b 9.118
_cell_length_c 3.358
_cell_angle_alpha 90.00
_cell_angle_beta 90.00
_cell_angle_gamma 90.00
_space_group_name_H-M_alt 'P 4/m b m'
_space_group_IT_number 127
_space_group_name_Hall '-P 4 2ab'
loop_
_atom_site_label
_atom_site_type_symbol
_atom_site_fract_x
_atom_site_fract_y
_atom_site_fract_z
Sc1 Sc 0.171 0.329 0.000
Ga1 Ga 0.127 0.627 0.000
Co1 Co 0.000 0.500 0.500
Co2 Co 0.061 0.803 0.500
Mo1 Mo 0.000 0.000 0.000
# Calculated volume = 279.1 Å³/cell
# Fermi-level density of states = 15.112 states/eV per cell
# Total energy = -0.494 Ry per atom

[3]
# SmDyGa3 PBE optimized geometry
data_SmDyGa3
_cell_length_a 4.250
_cell_length_b 25.705
_cell_length_c 4.194
_cell_angle_alpha 90.00
_cell_angle_beta 90.00
_cell_angle_gamma 90.00
_space_group_name_H-M_alt 'C m c m'
_space_group_IT_number 63
_space_group_name_Hall '-C 2c 2'
loop_
_atom_site_label
_atom_site_type_symbol
_atom_site_fract_x
_atom_site_fract_y
_atom_site_fract_z
Sm1 Sm 0.000 0.073 0.250
Dy1 Dy 0.000 0.204 0.750
Ga1 Ga 0.000 0.323 0.750
Ga2 Ga 0.000 0.380 0.250
Ga3 Ga 0.000 0.476 0.250
# Calculated volume = 458.2 Å³/cell
# Fermi-level density of states = 13.278 states/eV per cell
# Total energy = -0.319 Ry per atom